# LiNbS2, relaxed, DFT GGA-PBE
data_LiNbS2
_cell_length_a 6.989
_cell_length_b 6.989
_cell_length_c 6.989
_cell_angle_alpha 28.01
_cell_angle_beta 28.01
_cell_angle_gamma 28.01
_space_group_name_H-M_alt 'P 1'
_space_group_IT_number 1
loop_
_space_group_symop_operation_xyz
'x,y,z'
loop_
_atom_site_label
_atom_site_fract_x
_atom_site_fract_y
_atom_site_fract_z
Li1 0.000 0.000 0.000
Nb1 0.163 0.163 0.163
S1 0.576 0.576 0.576
S2 0.750 0.750 0.750
# Formation energy without anion corrections, kJ/mol of atoms: -107
# Crystal system: trigonal

# Pr12DyCd3, relaxed, DFT GGA-PBE
data_Pr12DyCd3
_cell_length_a 5.047
_cell_length_b 5.047
_cell_length_c 20.450
_cell_angle_alpha 90.00
_cell_angle_beta 90.00
_cell_angle_gamma 90.00
_space_group_name_H-M_alt 'P 1'
_space_group_IT_number 1
loop_
_space_group_symop_operation_xyz
'x,y,z'
loop_
_atom_site_label
_atom_site_fract_x
_atom_site_fract_y
_atom_site_fract_z
Pr1 0.000 0.000 0.000
Pr2 0.000 0.000 0.246
Pr3 0.000 0.000 0.500
Pr4 0.000 0.000 0.754
Pr5 0.000 0.500 0.123
Pr6 0.000 0.500 0.370
Pr7 0.000 0.500 0.630
Pr8 0.000 0.500 0.877
Pr9 0.500 0.000 0.123
Pr10 0.500 0.000 0.370
Pr11 0.500 0.000 0.630
Pr12 0.500 0.000 0.877
Dy1 0.500 0.500 0.500
Cd1 0.500 0.500 0.000
Cd2 0.500 0.500 0.244
Cd3 0.500 0.500 0.756
# Formation energy, eV per atom: -0.079
# Crystal system: tetragonal

# Ac5TbMg6, relaxed, DFT GGA-PBE
data_Ac5TbMg6
_cell_length_a 5.745
_cell_length_b 8.138
_cell_length_c 9.090
_cell_angle_alpha 90.00
_cell_angle_beta 108.35
_cell_angle_gamma 90.00
_space_group_name_H-M_alt 'P 1'
_space_group_IT_number 1
loop_
_space_group_symop_operation_xyz
'x,y,z'
loop_
_atom_site_label
_atom_site_fract_x
_atom_site_fract_y
_atom_site_fract_z
Ac1 0.000 0.000 0.000
Ac2 0.331 0.000 0.661
Ac3 0.334 0.500 0.668
Ac4 0.666 0.500 0.332
Ac5 0.669 0.000 0.339
Tb1 0.000 0.500 0.000
Mg1 0.161 0.259 0.322
Mg2 0.161 0.741 0.322
Mg3 0.500 0.263 0.000
Mg4 0.500 0.737 0.000
Mg5 0.839 0.259 0.678
Mg6 0.839 0.741 0.678
# Formation energy, eV per atom: -0.070
# Crystal system: monoclinic

# Cr3NiH, relaxed, DFT GGA-PBE
data_Cr3NiH
_cell_length_a 4.585
_cell_length_b 4.585
_cell_length_c 4.585
_cell_angle_alpha 90.00
_cell_angle_beta 90.00
_cell_angle_gamma 90.00
_space_group_name_H-M_alt 'P 1'
_space_group_IT_number 1
loop_
_space_group_symop_operation_xyz
'x,y,z'
loop_
_atom_site_label
_atom_site_fract_x
_atom_site_fract_y
_atom_site_fract_z
Cr1 0.000 0.000 0.500
Cr2 0.000 0.500 0.000
Cr3 0.500 0.000 0.000
Ni1 0.000 0.000 0.000
H1 0.500 0.500 0.500
# Energy above the lowest structure with this stoichiometry, meV per atom: 1560.9
# Crystal system: cubic

# Sr2Li2US6, relaxed, DFT GGA-PBE
data_Sr2Li2US6
_cell_length_a 7.501
_cell_length_b 7.501
_cell_length_c 7.501
_cell_angle_alpha 58.47
_cell_angle_beta 58.47
_cell_angle_gamma 58.47
_space_group_name_H-M_alt 'P 1'
_space_group_IT_number 1
loop_
_space_group_symop_operation_xyz
'x,y,z'
loop_
_atom_site_label
_atom_site_fract_x
_atom_site_fract_y
_atom_site_fract_z
Sr1 0.209 0.209 0.209
Sr2 0.791 0.791 0.791
Li1 0.423 0.423 0.423
Li2 0.577 0.577 0.577
U1 0.000 0.000 0.000
S1 0.224 0.758 0.758
S2 0.242 0.242 0.776
S3 0.242 0.776 0.242
S4 0.758 0.224 0.758
S5 0.758 0.758 0.224
S6 0.776 0.242 0.242
# Formation energy without anion corrections, kJ/mol of atoms: -132
# Crystal system: trigonal

# In2RuRh, relaxed, DFT GGA-PBE
data_In2RuRh
_cell_length_a 5.890
_cell_length_b 5.890
_cell_length_c 5.890
_cell_angle_alpha 104.47
_cell_angle_beta 104.47
_cell_angle_gamma 120.02
_space_group_name_H-M_alt 'P 1'
_space_group_IT_number 1
loop_
_space_group_symop_operation_xyz
'x,y,z'
loop_
_atom_site_label
_atom_site_fract_x
_atom_site_fract_y
_atom_site_fract_z
In1 0.121 0.625 0.996
In2 0.375 0.371 0.496
In3 0.629 0.125 0.004
In4 0.875 0.879 0.504
Ru1 0.250 0.750 0.500
Ru2 0.500 0.500 0.000
Rh1 0.000 0.000 0.000
Rh2 0.750 0.250 0.500
# Formation energy, eV per atom: 0.382
# Crystal system: tetragonal

# Sm3Hg2Sb, relaxed, DFT GGA-PBE
data_Sm3Hg2Sb
_cell_length_a 5.257
_cell_length_b 15.980
_cell_length_c 3.948
_cell_angle_alpha 90.00
_cell_angle_beta 90.00
_cell_angle_gamma 90.00
_space_group_name_H-M_alt 'P 1'
_space_group_IT_number 1
loop_
_space_group_symop_operation_xyz
'x,y,z'
loop_
_atom_site_label
_atom_site_fract_x
_atom_site_fract_y
_atom_site_fract_z
Sm1 0.250 0.088 0.000
Sm2 0.250 0.412 0.000
Sm3 0.250 0.750 0.002
Sm4 0.750 0.250 0.998
Sm5 0.750 0.588 0.000
Sm6 0.750 0.912 0.000
Hg1 0.250 0.570 0.500
Hg2 0.250 0.930 0.500
Hg3 0.750 0.070 0.500
Hg4 0.750 0.430 0.500
Sb1 0.250 0.250 0.499
Sb2 0.750 0.750 0.501
# Formation energy without anion corrections, kJ/mol of atoms: -62
# Crystal system: orthorhombic

# ZnSiC3, relaxed, DFT GGA-PBE
data_ZnSiC3
_cell_length_a 3.951
_cell_length_b 3.951
_cell_length_c 3.951
_cell_angle_alpha 90.00
_cell_angle_beta 90.00
_cell_angle_gamma 90.00
_space_group_name_H-M_alt 'P 1'
_space_group_IT_number 1
loop_
_space_group_symop_operation_xyz
'x,y,z'
loop_
_atom_site_label
_atom_site_fract_x
_atom_site_fract_y
_atom_site_fract_z
Zn1 0.000 0.000 0.000
Si1 0.500 0.500 0.500
C1 0.000 0.000 0.500
C2 0.000 0.500 0.000
C3 0.500 0.000 0.000
# Formation energy without anion corrections, kJ/mol of atoms: 290
# Energy above the lowest structure with this stoichiometry, meV per atom: 1008.9
# Crystal system: cubic

# Ta2CoBr, relaxed, DFT GGA-PBE
data_Ta2CoBr
_cell_length_a 4.491
_cell_length_b 4.491
_cell_length_c 4.491
_cell_angle_alpha 60.00
_cell_angle_beta 60.00
_cell_angle_gamma 60.00
_space_group_name_H-M_alt 'P 1'
_space_group_IT_number 1
loop_
_space_group_symop_operation_xyz
'x,y,z'
loop_
_atom_site_label
_atom_site_fract_x
_atom_site_fract_y
_atom_site_fract_z
Ta1 0.250 0.250 0.250
Ta2 0.750 0.750 0.750
Co1 0.000 0.000 0.000
Br1 0.500 0.500 0.500
# Formation energy without anion corrections, kJ/mol of atoms: 59
# Energy above the lowest structure with this stoichiometry, meV per atom: 523.3
# Crystal system: cubic

# CoAs2Au, relaxed, DFT GGA-PBE
data_CoAs2Au
_cell_length_a 5.053
_cell_length_b 5.053
_cell_length_c 5.706
_cell_angle_alpha 111.88
_cell_angle_beta 111.88
_cell_angle_gamma 34.79
_space_group_name_H-M_alt 'P 1'
_space_group_IT_number 1
loop_
_space_group_symop_operation_xyz
'x,y,z'
loop_
_atom_site_label
_atom_site_fract_x
_atom_site_fract_y
_atom_site_fract_z
Co1 0.000 0.000 0.000
As1 0.463 0.463 0.674
As2 0.674 0.674 0.260
Au1 0.258 0.258 0.911
# Energy above the lowest structure with this stoichiometry, meV per atom: 227.4
# Formation energy, eV per atom: 0.157
# Crystal system: monoclinic

# Re4BiO2, relaxed, DFT GGA-PBE
data_Re4BiO2
_cell_length_a 6.756
_cell_length_b 6.756
_cell_length_c 6.756
_cell_angle_alpha 135.98
_cell_angle_beta 135.98
_cell_angle_gamma 64.00
_space_group_name_H-M_alt 'P 1'
_space_group_IT_number 1
loop_
_space_group_symop_operation_xyz
'x,y,z'
loop_
_atom_site_label
_atom_site_fract_x
_atom_site_fract_y
_atom_site_fract_z
Re1 0.000 0.500 0.500
Re2 0.245 0.245 0.000
Re3 0.500 0.000 0.500
Re4 0.755 0.755 0.000
Bi1 0.000 0.000 0.000
O1 0.398 0.398 0.000
O2 0.602 0.602 0.000
# Formation energy without anion corrections, kJ/mol of atoms: 225
# Crystal system: tetragonal

# AlPIr2, relaxed, DFT GGA-PBE
data_AlPIr2
_cell_length_a 4.441
_cell_length_b 4.441
_cell_length_c 4.441
_cell_angle_alpha 125.97
_cell_angle_beta 125.97
_cell_angle_gamma 79.95
_space_group_name_H-M_alt 'P 1'
_space_group_IT_number 1
loop_
_space_group_symop_operation_xyz
'x,y,z'
loop_
_atom_site_label
_atom_site_fract_x
_atom_site_fract_y
_atom_site_fract_z
Al1 0.000 0.000 0.000
P1 0.500 0.500 0.000
Ir1 0.250 0.750 0.500
Ir2 0.750 0.250 0.500
# Energy above the lowest structure with this stoichiometry, meV per atom: 140.1
# Formation energy, eV per atom: -0.286
# Crystal system: tetragonal

# FeCo4Tc, relaxed, DFT GGA-PBE
data_FeCo4Tc
_cell_length_a 4.637
_cell_length_b 4.637
_cell_length_c 4.637
_cell_angle_alpha 60.00
_cell_angle_beta 60.00
_cell_angle_gamma 60.00
_space_group_name_H-M_alt 'P 1'
_space_group_IT_number 1
loop_
_space_group_symop_operation_xyz
'x,y,z'
loop_
_atom_site_label
_atom_site_fract_x
_atom_site_fract_y
_atom_site_fract_z
Fe1 0.000 0.000 0.000
Co1 0.375 0.375 0.375
Co2 0.375 0.375 0.876
Co3 0.375 0.876 0.375
Co4 0.876 0.375 0.375
Tc1 0.750 0.750 0.750
# Formation energy, eV per atom: 0.169
# Crystal system: cubic

# YSn3Os, relaxed, DFT GGA-PBE
data_YSn3Os
_cell_length_a 5.170
_cell_length_b 5.170
_cell_length_c 5.170
_cell_angle_alpha 90.00
_cell_angle_beta 90.00
_cell_angle_gamma 90.00
_space_group_name_H-M_alt 'P 1'
_space_group_IT_number 1
loop_
_space_group_symop_operation_xyz
'x,y,z'
loop_
_atom_site_label
_atom_site_fract_x
_atom_site_fract_y
_atom_site_fract_z
Y1 0.000 0.000 0.000
Sn1 0.000 0.500 0.500
Sn2 0.500 0.000 0.500
Sn3 0.500 0.500 0.000
Os1 0.500 0.500 0.500
# Formation energy, eV per atom: 0.281
# Crystal system: cubic

# Pa5As5C2, relaxed, DFT GGA-PBE
data_Pa5As5C2
_cell_length_a 6.988
_cell_length_b 6.988
_cell_length_c 10.167
_cell_angle_alpha 103.50
_cell_angle_beta 103.50
_cell_angle_gamma 32.17
_space_group_name_H-M_alt 'P 1'
_space_group_IT_number 1
loop_
_space_group_symop_operation_xyz
'x,y,z'
loop_
_atom_site_label
_atom_site_fract_x
_atom_site_fract_y
_atom_site_fract_z
Pa1 0.000 0.000 0.000
Pa2 0.098 0.098 0.356
Pa3 0.343 0.343 0.210
Pa4 0.657 0.657 0.790
Pa5 0.902 0.902 0.644
As1 0.237 0.237 0.626
As2 0.340 0.340 0.903
As3 0.500 0.500 0.500
As4 0.660 0.660 0.097
As5 0.763 0.763 0.374
C1 0.056 0.056 0.801
C2 0.944 0.944 0.199
# Formation energy, eV per atom: -0.734
# Crystal system: monoclinic

# B5C7, relaxed, DFT GGA-PBE
data_B5C7
_cell_length_a 2.623
_cell_length_b 2.623
_cell_length_c 14.629
_cell_angle_alpha 90.00
_cell_angle_beta 90.00
_cell_angle_gamma 120.00
_space_group_name_H-M_alt 'P 1'
_space_group_IT_number 1
loop_
_space_group_symop_operation_xyz
'x,y,z'
loop_
_atom_site_label
_atom_site_fract_x
_atom_site_fract_y
_atom_site_fract_z
B1 0.000 0.000 0.000
B2 0.000 0.000 0.116
B3 0.333 0.667 0.569
B4 0.333 0.667 0.810
B5 0.667 0.333 0.925
C1 0.000 0.000 0.442
C2 0.000 0.000 0.554
C3 0.333 0.667 0.163
C4 0.333 0.667 0.266
C5 0.667 0.333 0.302
C6 0.667 0.333 0.407
C7 0.667 0.333 0.818
# Energy above the lowest structure with this stoichiometry, meV per atom: 95.5
# Formation energy, eV per atom: 0.353
# Crystal system: trigonal

# ScTi2NiBi, relaxed, DFT GGA-PBE
data_ScTi2NiBi
_cell_length_a 4.596
_cell_length_b 4.596
_cell_length_c 5.339
_cell_angle_alpha 90.00
_cell_angle_beta 90.00
_cell_angle_gamma 90.00
_space_group_name_H-M_alt 'P 1'
_space_group_IT_number 1
loop_
_space_group_symop_operation_xyz
'x,y,z'
loop_
_atom_site_label
_atom_site_fract_x
_atom_site_fract_y
_atom_site_fract_z
Sc1 0.000 0.000 0.000
Ti1 0.000 0.500 0.000
Ti2 0.500 0.000 0.000
Ni1 0.500 0.500 0.500
Bi1 0.000 0.000 0.500
# Formation energy, eV per atom: 1.244
# Crystal system: tetragonal

# AgMo2As, relaxed, DFT GGA-PBE
data_AgMo2As
_cell_length_a 3.312
_cell_length_b 4.372
_cell_length_c 4.553
_cell_angle_alpha 90.00
_cell_angle_beta 90.00
_cell_angle_gamma 90.00
_space_group_name_H-M_alt 'P 1'
_space_group_IT_number 1
loop_
_space_group_symop_operation_xyz
'x,y,z'
loop_
_atom_site_label
_atom_site_fract_x
_atom_site_fract_y
_atom_site_fract_z
Ag1 0.000 0.000 0.000
Mo1 0.000 0.500 0.500
Mo2 0.500 0.000 0.500
As1 0.500 0.500 0.000
# Formation energy, eV per atom: 0.510
# Crystal system: orthorhombic

# HfGe2Bi, relaxed, DFT GGA-PBE
data_HfGe2Bi
_cell_length_a 7.866
_cell_length_b 7.866
_cell_length_c 7.866
_cell_angle_alpha 133.15
_cell_angle_beta 133.15
_cell_angle_gamma 68.41
_space_group_name_H-M_alt 'P 1'
_space_group_IT_number 1
loop_
_space_group_symop_operation_xyz
'x,y,z'
loop_
_atom_site_label
_atom_site_fract_x
_atom_site_fract_y
_atom_site_fract_z
Hf1 0.000 0.000 0.000
Hf2 0.750 0.250 0.500
Ge1 0.098 0.625 0.973
Ge2 0.375 0.348 0.473
Ge3 0.652 0.125 0.027
Ge4 0.875 0.902 0.527
Bi1 0.250 0.750 0.500
Bi2 0.500 0.500 0.000
# Formation energy, eV per atom: 0.352
# Crystal system: tetragonal

# Cs2AgHgBr4, relaxed, DFT GGA-PBE
data_Cs2AgHgBr4
_cell_length_a 7.494
_cell_length_b 7.494
_cell_length_c 7.494
_cell_angle_alpha 110.02
_cell_angle_beta 110.02
_cell_angle_gamma 108.39
_space_group_name_H-M_alt 'P 1'
_space_group_IT_number 1
loop_
_space_group_symop_operation_xyz
'x,y,z'
loop_
_atom_site_label
_atom_site_fract_x
_atom_site_fract_y
_atom_site_fract_z
Cs1 0.000 0.000 0.000
Cs2 0.750 0.250 0.500
Ag1 0.500 0.500 0.000
Hg1 0.250 0.750 0.500
Br1 0.207 0.152 0.587
Br2 0.380 0.793 0.945
Br3 0.565 0.620 0.413
Br4 0.848 0.435 0.055
# Formation energy without anion corrections, kJ/mol of atoms: -94
# Crystal system: tetragonal